This record from the Alexandria database describes crystalline Nb3HgAs at its relaxed geometry. The functional is PBE.

Results
D(E_F) = 1.9109 states/eV per atom
ΔH_f (0 K) = 0.65 eV per atom
Total energy = -6.383 eV per atom

a b c (Å): 4.7785 4.7785 4.7785
angles (deg): 90.00 90.00 90.00
Last column: nearest neighbours and their distance in Å.
Element x y z (fractional)
Nb1 0.0000 0.0000 0.5000  2 As 2.39
Nb2 0.0000 0.5000 0.0000  2 As 2.39
Nb3 0.5000 0.0000 0.0000  2 As 2.39
As1 0.0000 0.0000 0.0000  6 Nb 2.39
Hg1 0.5000 0.5000 0.5000  12 Nb 3.38

This record from the Alexandria database describes crystalline RbNi2Sb at its relaxed geometry. The functional is PBE.

Results
D(E_F) = 1.5256 states/eV per atom
ΔE_f (raw) = 0.220 eV/atom
Total energy = -3.943 eV per atom

a b c (Å): 5.2180 5.2180 9.0762
angles (deg): 73.29 73.29 90.00
Last column: nearest neighbours and their distance in Å.
Element x y z (fractional)
Sb1 0.0000 0.0000 0.0000  4 Ni 2.45
Sb2 0.7500 0.2500 0.5000  4 Ni 2.45
Ni1 0.8750 0.6250 0.2500  2 Sb 2.45, 2 Ni 2.61
Ni2 0.3750 0.1250 0.7500  2 Sb 2.45, 2 Ni 2.61
Ni3 0.8750 0.1250 0.2500  2 Sb 2.45, 2 Ni 2.61
Ni4 0.8750 0.1250 0.7500  2 Sb 2.45, 2 Ni 2.61
Rb1 0.2500 0.7500 0.5000  8 Ni 3.58, 4 Sb 3.69
Rb2 0.5000 0.5000 0.0000  8 Ni 3.58, 4 Sb 3.69

This record from the Alexandria database describes crystalline KRb4Ge3Br12 at its relaxed geometry. The functional is PBE.

Results
D(E_F) = 0.2332 states/eV per atom
ΔE_f (raw) = -1.113 eV/atom
Total energy = -3.058 eV per atom

a b c (Å): 9.7827 9.7827 9.7827
angles (deg): 109.47 109.47 109.47
Last column: nearest neighbours and their distance in Å.
Element x y z (fractional)
Rb1 0.5000 0.0000 0.0000  12 Br 3.99-4.00
Rb2 0.0000 0.0000 0.5000  12 Br 3.99-4.00
Rb3 0.0000 0.5000 0.0000  12 Br 3.99-4.00
Rb4 0.5000 0.5000 0.5000  12 Br 3.99-4.00
Ge1 0.0000 0.5000 0.5000  6 Br 2.63-2.82
Ge2 0.5000 0.5000 0.0000  6 Br 2.63-2.82
Ge3 0.5000 0.0000 0.5000  6 Br 2.63-2.82
Br1 0.7332 0.0000 0.7332  1 Ge 2.63
Br2 0.2668 0.2668 0.0000  1 Ge 2.63
Br3 0.0000 0.2668 0.2668  1 Ge 2.63
Br4 0.7500 0.5000 0.2500  2 Ge 2.82
Br5 0.2500 0.7500 0.5000  2 Ge 2.82
Br6 0.0000 0.7332 0.7332  1 Ge 2.63
Br7 0.2668 0.0000 0.2668  1 Ge 2.63
Br8 0.5000 0.7500 0.2500  2 Ge 2.82
Br9 0.7332 0.7332 0.0000  1 Ge 2.63
Br10 0.7500 0.2500 0.5000  2 Ge 2.82
Br11 0.5000 0.2500 0.7500  2 Ge 2.82
Br12 0.2500 0.5000 0.7500  2 Ge 2.82
K1 0.0000 0.0000 0.0000  6 Br 3.01

This record from the Alexandria database describes crystalline Cu3P at its relaxed geometry. The functional is PBE.

Results
D(E_F) = 0.3369 states/eV per atom
ΔH_f (0 K) = 0.13 eV per atom
Total energy = -4.294 eV per atom

a b c (Å): 5.0369 5.0369 4.2575
angles (deg): 90.00 90.00 92.26
Last column: nearest neighbours and their distance in Å.
Element x y z (fractional)
P1 0.5703 0.4297 0.7500  3 Cu 2.28-2.31, 2 P 2.36
P2 0.4297 0.5703 0.2500  3 Cu 2.28-2.31, 2 P 2.36
Cu1 0.6406 0.9862 0.2500  1 P 2.31, 5 Cu 2.47-2.56
Cu2 0.9862 0.6406 0.7500  1 P 2.31, 5 Cu 2.47-2.56
Cu3 0.0138 0.3594 0.2500  1 P 2.31, 5 Cu 2.47-2.56
Cu4 0.1160 0.8840 0.2500  1 P 2.28, 6 Cu 2.47-2.53
Cu5 0.8840 0.1160 0.7500  1 P 2.28, 6 Cu 2.47-2.53
Cu6 0.3594 0.0138 0.7500  1 P 2.31, 5 Cu 2.47-2.56

This record from the Alexandria database describes crystalline PmPrAs at its relaxed geometry. The functional is PBE.

Results
D(E_F) = 0.6773 states/eV per atom
ΔH_f (0 K) = -0.84 eV per atom
Total energy = -5.562 eV per atom

a b c (Å): 4.9992 4.9992 4.9992
angles (deg): 60.00 60.00 60.00
Last column: nearest neighbours and their distance in Å.
Element x y z (fractional)
Pr1 0.0000 0.0000 0.0000  4 As 3.06
Pm1 0.5000 0.5000 0.5000  4 As 3.06
As1 0.2500 0.2500 0.2500  4 Pr 3.06, 4 Pm 3.06

This record from the Alexandria database describes crystalline TmTcGe at its relaxed geometry. The functional is PBE.

Results
D(E_F) = 1.0966 states/eV per atom
ΔH_f (0 K) = -0.56 eV per atom
Total energy = -7.044 eV per atom

a b c (Å): 4.0527 4.0527 7.5915
angles (deg): 105.48 105.48 90.00
Last column: nearest neighbours and their distance in Å.
Element x y z (fractional)
Tc1 0.0000 0.5000 0.0000  4 Ge 2.65, 4 Tc 2.87
Tc2 0.5000 0.0000 0.0000  4 Ge 2.65, 4 Tc 2.87
Tm1 0.3408 0.3408 0.6816  5 Ge 2.91-3.08, 4 Tc 3.02
Tm2 0.6592 0.6592 0.3184  5 Ge 2.91-3.08, 4 Tc 3.02
Ge1 0.8783 0.8783 0.7567  4 Tc 2.65, 4 Tm 2.91
Ge2 0.1217 0.1217 0.2433  4 Tc 2.65, 4 Tm 2.91

This record from the Alexandria database describes crystalline HfTcH2Ir at its relaxed geometry. The functional is PBE.

Results
D(E_F) = 0.4675 states/eV per atom
Total energy = -6.559 eV per atom

a b c (Å): 3.6402 5.3888 3.6402
angles (deg): 90.00 90.00 90.00
Last column: nearest neighbours and their distance in Å.
Element x y z (fractional)
Tc1 0.0000 0.0000 0.0000  4 H 1.82
Ir1 0.5000 0.5000 0.5000  4 Hf 2.57
H1 0.0000 0.0000 0.5000  2 Tc 1.82
H2 0.5000 0.0000 0.0000  2 Tc 1.82
Hf1 0.0000 0.5000 0.0000  4 Ir 2.57, 2 Tc 2.69

This record from the Alexandria database describes crystalline NpIrN at its relaxed geometry. The functional is PBE.

Results
D(E_F) = 1.4922 states/eV per atom
ΔE_f (raw) = -0.130 eV/atom
Total energy = -10.172 eV per atom

a b c (Å): 4.6456 3.4808 3.4808
angles (deg): 120.00 90.00 90.00
Last column: nearest neighbours and their distance in Å.
Element x y z (fractional)
Ir1 0.6469 0.3333 0.6667  3 Np 2.66, 3 N 2.85
Np1 0.2726 0.6667 0.3333  3 N 2.20
N1 0.0805 0.0000 0.0000  3 Np 2.20

This record from the Alexandria database describes crystalline CuSn3Br at its relaxed geometry. The functional is PBE.

Results
D(E_F) = 0.5265 states/eV per atom
ΔE_f (raw) = 0.940 eV/atom
Total energy = -2.615 eV per atom

a b c (Å): 5.5665 5.5665 5.5665
angles (deg): 90.00 90.00 90.00
Last column: nearest neighbours and their distance in Å.
Element x y z (fractional)
Sn1 0.0000 0.5000 0.0000  2 Br 2.78
Sn2 0.0000 0.0000 0.5000  2 Br 2.78
Sn3 0.5000 0.0000 0.0000  2 Br 2.78
Br1 0.0000 0.0000 0.0000  6 Sn 2.78
Cu1 0.5000 0.5000 0.5000  12 Sn 3.94

This record from the Alexandria database describes crystalline K2RbBaSb at its relaxed geometry. The functional is PBE.

Results
D(E_F) = 0.0561 states/eV per atom
ΔE_f (raw) = -0.021 eV/atom
Total energy = -1.862 eV per atom

a b c (Å): 6.8441 7.1490 6.8441
angles (deg): 90.00 90.00 90.00
Last column: nearest neighbours and their distance in Å.
Element x y z (fractional)
K1 0.0000 0.0000 0.5000  2 Sb 3.42
K2 0.5000 0.0000 0.0000  2 Sb 3.42
Ba1 0.5000 0.5000 0.5000  4 Rb 4.84, 8 K 4.95
Rb1 0.0000 0.5000 0.0000  2 Sb 3.57
Sb1 0.0000 0.0000 0.0000  4 K 3.42, 2 Rb 3.57

This record from the Alexandria database describes crystalline Cs2P4Pd3O14 at its relaxed geometry. The functional is PBE.

Results
ΔE_f (raw) = -1.764 eV/atom
Total energy = -6.475 eV per atom

a b c (Å): 7.7157 8.2432 14.8004
angles (deg): 90.00 90.00 117.90
Last column: nearest neighbours and their distance in Å.
Element x y z (fractional)
O1 0.9050 0.1704 0.3020  1 P 1.53
O2 0.7346 0.8296 0.8020  1 P 1.53
O3 0.2321 0.8682 0.3690  1 P 1.54
O4 0.6362 0.8682 0.3690  1 P 1.54
O5 0.9301 0.2382 0.4967  1 P 1.54
O6 0.5031 0.4055 0.9912  1 P 1.54
O7 0.2654 0.1704 0.3020  1 P 1.53
O8 0.4969 0.5945 0.4912  1 P 1.54
O9 0.4404 0.8807 0.8091  2 P 1.63
O10 0.6919 0.7618 0.9967  1 P 1.54
O11 0.0976 0.5945 0.4912  1 P 1.54
O12 0.0950 0.8296 0.8020  1 P 1.53
O13 0.7203 0.0589 0.6978  1 P 1.55
O14 0.1057 0.5706 0.1252  1 P 1.53
O15 0.2797 0.9411 0.1978  1 P 1.55
O16 0.7679 0.1318 0.8690  1 P 1.54
O17 0.3081 0.2382 0.4967  1 P 1.54
O18 0.8943 0.4294 0.6252  1 P 1.53
O19 0.5596 0.1193 0.3091  2 P 1.63
O20 0.6613 0.9411 0.1978  1 P 1.55
O21 0.3387 0.0589 0.6978  1 P 1.55
O22 0.2155 0.4309 0.6032  2 P 1.64
O23 0.9024 0.4055 0.9912  1 P 1.54
O24 0.3638 0.1318 0.8690  1 P 1.54
O25 0.0699 0.7618 0.9967  1 P 1.54
O26 0.5351 0.4294 0.6252  1 P 1.53
O27 0.4649 0.5706 0.1252  1 P 1.53
O28 0.7845 0.5691 0.1032  2 P 1.64
P1 0.9756 0.5800 0.0499  4 O 1.53-1.64
P2 0.6940 0.0159 0.2954  4 O 1.53-1.63
P3 0.3060 0.9841 0.7954  4 O 1.53-1.63
P4 0.6780 0.9841 0.7954  4 O 1.53-1.63
P5 0.0244 0.4200 0.5499  4 O 1.53-1.64
P6 0.6044 0.5800 0.0499  4 O 1.53-1.64
P7 0.3956 0.4200 0.5499  4 O 1.53-1.64
P8 0.3220 0.0159 0.2954  4 O 1.53-1.63
Pd1 0.6363 0.2726 0.9277  4 O 2.05-2.06
Pd2 0.3811 0.7622 0.1611  4 O 2.04
Pd3 0.6189 0.2378 0.6611  4 O 2.04
Pd4 0.8971 0.7943 0.9011  4 O 2.04-2.05
Pd5 0.1029 0.2057 0.4011  4 O 2.04-2.05
Pd6 0.3637 0.7274 0.4277  4 O 2.05-2.06
Cs1 0.0753 0.1506 0.0955  10 O 3.21-3.51
Cs2 0.9247 0.8494 0.5955  10 O 3.21-3.51
Cs3 0.7771 0.5542 0.3229  6 O 3.18-3.42
Cs4 0.2229 0.4458 0.8229  6 O 3.18-3.42